A relaxed structure of K2DyZn2Te4. Source: Alexandria via LeMat-Bulk, functional GGA-PBE.

Values from the calculation:
Energy = -3.287 eV per atom
Formation energy (no corrections) = -852 meV per atom
Space group = C2/m

a = 4.676 Å, b = 8.341 Å, c = 8.469 Å
α = 108.69°, β = 106.02°, γ = 90.00°
Positions (direct):
1 K 0.131 0.566 0.262
2 K 0.869 0.434 0.738
3 Dy 0.000 0.000 0.000
4 Zn 0.674 0.996 0.347
5 Zn 0.326 0.004 0.653
6 Te 0.203 0.177 0.407
7 Te 0.797 0.823 0.593
8 Te 0.512 0.757 0.024
9 Te 0.488 0.243 0.976